1.
DFT (PBEsol) results for a geometry-optimized CaSi2Te structure.

Uncorrected formation energy = 0.2331 eV/atom
VASP energy = -4.055 eV per atom
Excess energy over the best structure of this formula in the dataset = 344 meV per atom
ρ = 4.18 Mg/m³

Unit cell a=5.0113 b=5.0113 c=5.0113 alpha=60.00 beta=60.00 gamma=60.00
Sites, in units of the cell vectors:
Ca 0.0000 0.0000 0.0000
Si 0.2500 0.2500 0.2500
Si 0.7500 0.7500 0.7500
Te 0.5000 0.5000 0.5000

***

2.
DFT (PBEsol) results for a geometry-optimized Ca2SiTe structure.

Uncorrected formation energy = -0.7172 eV/atom
VASP energy = -4.102 eV per atom
ρ = 3.67 Mg/m³

Unit cell a=6.1059 b=6.1059 c=4.7732 alpha=99.45 beta=99.45 gamma=37.54
Sites, in units of the cell vectors:
Ca 0.0000 0.0000 0.0000
Ca 0.7388 0.7388 0.5232
Si 0.2620 0.2620 0.0388
Te 0.4638 0.4638 0.4759

***

3.
DFT (PBEsol) results for a geometry-optimized CaSi2Te structure.

Uncorrected formation energy = -0.1028 eV/atom
VASP energy = -4.391 eV per atom
Excess energy over the best structure of this formula in the dataset = 8 meV per atom
ρ = 4.21 Mg/m³

Unit cell a=3.7142 b=3.9136 c=6.0705 alpha=90.00 beta=90.00 gamma=90.00
Sites, in units of the cell vectors:
Ca 0.0000 0.0000 0.0000
Si 0.0000 0.0000 0.4672
Si 0.5000 0.5000 0.3147
Te 0.5000 0.5000 0.7519

***

4.
DFT (PBEsol) results for a geometry-optimized CaSiTe structure.

Uncorrected formation energy = -0.1322 eV/atom
VASP energy = -3.934 eV per atom
Excess energy over the best structure of this formula in the dataset = 190 meV per atom
ρ = 3.87 Mg/m³

Unit cell a=4.9167 b=4.9167 c=4.9167 alpha=60.00 beta=60.00 gamma=60.00
Sites, in units of the cell vectors:
Ca 0.0000 0.0000 0.0000
Si 0.7500 0.7500 0.7500
Te 0.5000 0.5000 0.5000